This record from the Alexandria database describes crystalline KBeAg2 at its relaxed geometry. The functional is GGA-PBE.

Computed properties:
**Magnetization**: 0.00 μB per cell
**Crystal system**: tetragonal
**Energy of formation from the pure elements**: 0.67 eV per atom
**Space-group type**: I-4m2
**Electronic total energy**: -7.85 eV for the cell shown
**N(E_F)**: 1.3 states/eV per cell

a = 5.272 Å, b = 5.272 Å, c = 5.272 Å
α = 129.33°, β = 129.33°, γ = 74.48°
Fractional coordinates of all 4 atoms:
Be  0.500  0.500  0.000
K  0.750  0.250  0.500
Ag  0.000  0.000  0.000
Ag  0.250  0.750  0.500